1.
## Fe2AsCl (PBE)

Data for a relaxed Fe2AsCl crystal.

The space group is Pmmm (No. 47) and the conventional cell measures 2.838, 3.843 and 6.127 Å, with angles of 90.00, 90.00 and 90.00 degrees. The inequivalent atoms are Fe at (0.000, 0.000, 0.000), Fe at (0.500, 0.000, 0.500), As at (0.000, 0.500, 0.500) and Cl at (0.500, 0.500, 0.000).

The energy relative to the lowest polymorph listed for this composition comes out at 461 meV per atom. Its crystal system is orthorhombic. For the total moment, the calculation gives 4.78 μB per formula unit. As for the formation energy without anion corrections: 0.3952 eV per atom.

---

2.
## Fe2AsCl (PBE)

Data for a relaxed Fe2AsCl crystal.

The space group is I-4m2 (No. 119) and the conventional cell measures 3.441, 3.441 and 11.362 Å, with angles of 90.00, 90.00 and 90.00 degrees. The inequivalent atoms are Fe at (0.000, 0.000, 0.000), Fe at (0.000, 0.500, 0.250), As at (0.000, 0.000, 0.500) and Cl at (0.000, 0.500, 0.750).

The energy relative to the lowest polymorph listed for this composition comes out at 527 meV per atom. Its crystal system is tetragonal. For the total moment, the calculation gives 5.81 μB per formula unit. As for the formation energy without anion corrections: 0.4609 eV per atom.

---

3.
## FeAsCl2 (PBE)

Data for a relaxed FeAsCl2 crystal.

The space group is Cm (No. 8) and the conventional cell measures 12.448, 3.163 and 5.287 Å, with angles of 90.00, 103.13 and 90.00 degrees. The inequivalent atoms are Fe at (0.000, 0.000, 0.000), As at (0.130, 0.500, 0.265), Cl at (0.061, 0.500, 0.665) and Cl at (0.360, 0.000, 0.984).

The energy relative to the lowest polymorph listed for this composition comes out at 4 meV per atom. Its crystal system is monoclinic. For the total moment, the calculation gives 3.00 μB per formula unit. As for the formation energy without anion corrections: -0.2292 eV per atom.